Record 1
# SmTm4Cd5 | the Alexandria database | PBE | relaxed
data_SmTm4Cd5
_symmetry_space_group_name_H-M 'P 4/m m m'
_symmetry_Int_Tables_number 123
_symmetry_space_group_name_Hall '-P 4 2'
_cell_length_a 3.7072
_cell_length_b 3.7072
_cell_length_c 18.7330
_cell_angle_alpha 90.00
_cell_angle_beta 90.00
_cell_angle_gamma 90.00
loop_
_atom_site_label
_atom_site_fract_x
_atom_site_fract_y
_atom_site_fract_z
Sm1 0.0000 0.0000 0.0000
Tm1 0.0000 0.0000 0.2048
Tm2 0.0000 0.0000 0.4019
Cd1 0.5000 0.5000 0.1082
Cd2 0.5000 0.5000 0.3031
Cd3 0.5000 0.5000 0.5000
# **D(E_F)**: 9.111 states/eV/cell
# **Calculated formation energy**: -0.311 eV/atom

***

Record 2
# Sn3As | the Alexandria database | PBE | relaxed
data_Sn3As
_symmetry_space_group_name_H-M 'P 63/m m c'
_symmetry_Int_Tables_number 194
_symmetry_space_group_name_Hall '-P 6c 2c'
_cell_length_a 6.5335
_cell_length_b 6.5335
_cell_length_c 5.5301
_cell_angle_alpha 90.00
_cell_angle_beta 90.00
_cell_angle_gamma 120.00
loop_
_atom_site_label
_atom_site_fract_x
_atom_site_fract_y
_atom_site_fract_z
Sn1 0.1699 0.3398 0.2500
As1 0.3333 0.6667 0.7500
# **D(E_F)**: 4.851 states/eV/cell
# **Calculated formation energy**: 0.129 eV/atom

***

Record 3
# BaPu2Cd9 | the Alexandria database | PBE | relaxed
data_BaPu2Cd9
_symmetry_space_group_name_H-M 'R -3 m'
_symmetry_Int_Tables_number 166
_symmetry_space_group_name_Hall '-R 3 2"'
_cell_length_a 6.0255
_cell_length_b 6.0255
_cell_length_c 29.8332
_cell_angle_alpha 90.00
_cell_angle_beta 90.00
_cell_angle_gamma 120.00
loop_
_atom_site_label
_atom_site_fract_x
_atom_site_fract_y
_atom_site_fract_z
Ba1 0.0000 0.0000 0.0000
Pu1 0.0000 0.0000 0.1501
Cd1 0.0000 0.0000 0.3356
Cd2 0.0000 0.0000 0.5000
Cd3 0.0055 0.5028 0.9143
# **D(E_F)**: 66.140 states/eV/cell
# **Calculated formation energy**: -0.124 eV/atom

***

Record 4
# Ac2As3Pt2 | the Alexandria database | PBE | relaxed
data_Ac2As3Pt2
_symmetry_space_group_name_H-M 'C m c m'
_symmetry_Int_Tables_number 63
_symmetry_space_group_name_Hall '-C 2c 2'
_cell_length_a 4.1616
_cell_length_b 20.7892
_cell_length_c 7.9782
_cell_angle_alpha 90.00
_cell_angle_beta 90.00
_cell_angle_gamma 90.00
loop_
_atom_site_label
_atom_site_fract_x
_atom_site_fract_y
_atom_site_fract_z
Ac1 0.0000 0.0500 0.2500
Ac2 0.0000 0.1788 0.7500
As1 0.0000 0.2065 0.2500
As2 0.0000 0.4361 0.0948
Pt1 0.0000 0.3402 0.5779
# **D(E_F)**: 8.199 states/eV/cell
# **Calculated formation energy**: -0.935 eV/atom

***

Record 5
# Na2TlHgH | the Alexandria database | PBE | relaxed
data_Na2TlHgH
_symmetry_space_group_name_H-M 'P 4/m m m'
_symmetry_Int_Tables_number 123
_symmetry_space_group_name_Hall '-P 4 2'
_cell_length_a 4.7031
_cell_length_b 4.7031
_cell_length_c 5.0365
_cell_angle_alpha 90.00
_cell_angle_beta 90.00
_cell_angle_gamma 90.00
loop_
_atom_site_label
_atom_site_fract_x
_atom_site_fract_y
_atom_site_fract_z
Na1 0.0000 0.5000 0.0000
Tl1 0.0000 0.0000 0.5000
Hg1 0.5000 0.5000 0.5000
H1 0.0000 0.0000 0.0000
# **D(E_F)**: 2.046 states/eV/cell
# **Total DFT energy (no corrections)**: -1.7922 eV per atom

***

Record 6
# Li2Mg3Al | the Alexandria database | PBE | relaxed
data_Li2Mg3Al
_symmetry_space_group_name_H-M 'P m c 21'
_symmetry_Int_Tables_number 26
_cell_length_a 4.8915
_cell_length_b 9.0761
_cell_length_c 5.3887
_cell_angle_alpha 90.00
_cell_angle_beta 90.00
_cell_angle_gamma 90.00
loop_
_symmetry_equiv_pos_as_xyz
'x,y,z'
'-x,-y,z+1/2'
'-x,y,z'
'x,-y,z+1/2'
loop_
_atom_site_label
_atom_site_fract_x
_atom_site_fract_y
_atom_site_fract_z
Li1 0.0000 0.0798 0.0000
Li2 0.5000 0.2599 0.8376
Mg1 0.0000 0.2446 0.5240
Mg2 0.0000 0.4119 0.0365
Mg3 0.5000 0.0854 0.3232
Al1 0.5000 0.4199 0.3582
# **D(E_F)**: 3.646 states/eV/cell
# **Calculated formation energy**: -0.037 eV/atom